4
Lattice="-1.6928 2.4803 4.4812 1.6928 -2.4803 4.4812 1.6928 2.4803 -4.4812" Properties=species:S:1:pos:R:3 comment="GGA-PBE PPt2Pb, optimized geometry" polymorph_energy_mev_per_atom=313 spacegroup=Imm2 formation_energy_mev_per_atom=36 pbc="T T T"
Pb 0.0000 2.4803 2.1329
Pt 0.0000 0.0000 0.1997
Pt 1.6928 0.0000 2.5141
P 0.0000 0.0000 4.1157

=====

4
Lattice="-6.0083 1.9268 -0.0344 -5.0852 1.6003 3.3753 -4.1463 4.4955 1.5530" Properties=species:S:1:pos:R:3 comment="GGA-PBE ZnPbN2, optimized geometry" formation_energy_uncorrected_ev_per_atom=0.678 polymorph_energy_mev_per_atom=206 spacegroup=R-3m pbc="T T T"
N -13.6752 7.1989 4.3914
N -1.5646 0.8236 0.5024
Pb -7.6199 4.0113 2.4469
Zn 0.0000 0.0000 0.0000

=====

20
Lattice="5.5116 0.0000 0.0000 0.0000 10.5239 -0.3784 0.0000 -2.7173 10.1741" Properties=species:S:1:pos:R:3 comment="GGA-PBE Th6Bi3N, optimized geometry" formation_energy_uncorrected_ev_per_atom=-0.558 spacegroup=Cmc2_1 pbc="T T T"
Bi 3.2633 5.0682 3.9695
Bi 0.5378 0.1955 2.5561
Bi 0.5075 2.7384 5.8262
Bi 3.2936 7.6111 7.2396
Bi 0.5378 5.3586 9.0347
Bi 3.2936 2.4481 0.7610
N 1.1860 0.0424 7.9748
N 3.9418 7.7642 1.8209
Th 3.9733 0.4594 7.6425
Th 1.2475 -0.6099 5.7361
Th 4.0033 5.7276 0.6855
Th 4.0033 8.4165 4.0596
Th 0.5497 3.6439 2.5005
Th 1.2175 7.3473 2.1532
Th 1.2475 2.0791 9.1102
Th 0.5497 6.1823 5.6857
Th 3.3615 9.4885 0.4467
Th 3.3055 4.1628 7.2952
Th 3.3055 1.6243 4.1100
Th 0.6057 -1.6819 9.3490

=====

5
Lattice="-0.8363 -2.5699 3.9413 4.0918 1.5788 1.8977 -2.3226 3.7068 1.9241" Properties=species:S:1:pos:R:3 comment="GGA-PBE NbIrPt3, optimized geometry" polymorph_energy_mev_per_atom=1914 spacegroup=Pm-3m formation_energy_mev_per_atom=1451 pbc="T T T"
Nb 0.4664 1.3579 3.8816
Ir 0.0000 0.0000 0.0000
Pt 2.0459 0.7894 0.9489
Pt -1.1613 1.8534 0.9621
Pt -0.4182 -1.2849 1.9706

=====

14
Lattice="3.1581 0.0000 0.0000 1.5790 7.7899 1.0387 1.5790 2.7774 7.3517" Properties=species:S:1:pos:R:3 comment="GGA-PBE Th3Fe2B9, optimized geometry" spacegroup=Immm formation_energy_mev_per_atom=-260 pbc="T T T"
B 3.1581 2.4674 5.0051
B 3.1581 5.1332 7.1217
B 1.5790 2.9007 4.5953
B 1.5790 5.2836 4.1952
B 1.5790 5.1332 1.7836
B 4.7371 7.6666 3.7951
B 4.7371 5.4341 6.6068
B 3.1581 5.4341 1.2687
B 3.1581 8.0998 3.3853
Th 0.0000 0.0000 0.0000
Th 3.1581 2.8029 2.2255
Th 3.1581 7.7644 6.1649
Fe 3.1581 6.0747 3.1989
Fe 3.1581 4.4926 5.1915

=====

7
Lattice="-3.0460 -4.6593 0.3414 0.8803 -3.6086 4.1602 -6.4098 1.3089 6.2300" Properties=species:S:1:pos:R:3 comment="GGA-PBE CaPr4In2, optimized geometry" polymorph_energy_mev_per_atom=0 spacegroup=R-3m formation_energy_mev_per_atom=-275 pbc="T T T"
Ca 0.0000 0.0000 0.0000
In -1.6509 -2.0921 2.2730
In -6.9245 -4.8669 8.4586
Pr -3.8256 -0.5379 4.0812
Pr -2.8216 -4.5273 4.1467
Pr -5.7538 -2.4317 6.5849
Pr -4.7498 -6.4211 6.6503

=====

3
Lattice="-0.4448 2.6404 2.5526 1.0313 -2.3780 2.6395 5.9150 1.6812 -3.3889" Properties=species:S:1:pos:R:3 comment="GGA-PBE PrEuPd, optimized geometry" polymorph_energy_mev_per_atom=0 spacegroup=I4mm formation_energy_mev_per_atom=-450 pbc="T T T"
Pr 3.6671 1.0706 -0.4683
Eu 0.3649 0.1065 -0.0466
Pd 2.4694 0.7665 2.3181

=====

4
Lattice="1.7624 0.0000 7.0333 -0.8812 1.5263 7.0333 -0.8812 -1.5263 7.0333" Properties=species:S:1:pos:R:3 comment="GGA-PBE YBeF2, optimized geometry" formation_energy_uncorrected_ev_per_atom=-1.553 polymorph_energy_mev_per_atom=198 spacegroup=R-3m pbc="T T T"
F 0.0000 0.0000 2.7082
F 0.0000 0.0000 18.3918
Y 0.0000 0.0000 0.0000
Be 0.0000 0.0000 10.5500

=====

| no. | electronic total energy (eV per atom) | DOS(E_F) (states/eV/cell) |
| --- | --- | --- |
| 1 | -5.2637 | 2.3 |
| 2 | -4.7301 | 0.3 |
| 3 | -7.0066 | 18.3 |
| 4 | -5.9595 | 13.2 |
| 5 | -7.3513 | 8.5 |
| 6 | -4.0740 | 5.7 |
| 7 | -7.1989 | 3.9 |
| 8 | -5.0362 | 1.6 |